Tl2CuAu | the Alexandria database | PBE | relaxed; formation enthalpy at 0 K = 0.402 eV per formula unit; ΔE to the lowest computed polymorph = 18 meV/atom; crystal system = monoclinic; calculated density = 11.02 g/cm³
1.0
3.793 -2.211 0.000
3.793 2.211 0.000
-2.534 0.000 6.014
Tl Cu Au
2 1 1
Direct
0.000 0.000 0.000
0.207 0.207 0.621
0.448 0.448 0.350
0.763 0.763 0.289